Entry 1:
First-principles (PBE-GGA) data for a geometry-optimized BaHfPCl2 structure, as listed in the Alexandria database.

The total energy is -5.5528 eV/atom. For the formation energy (no corrections), the calculation gives -1.3569 eV/atom. The value obtained for the spin magnetization is 0.00 μB/f.u. The calculation puts the density of states at the Fermi level at 1.564 states/eV/cell.

The structure belongs to space group P4/mmm (No. 123); the cell edges are 5.0172, 5.0172 and 5.1425 Å and the angles 90.00°, 90.00° and 90.00°. The inequivalent atoms are Ba at (0.0000, 0.0000, 0.0000), Hf at (0.5000, 0.5000, 0.5000), P at (0.5000, 0.5000, 0.0000) and Cl at (0.0000, 0.5000, 0.5000).

---

Entry 2:
First-principles (PBE-GGA) data for a geometry-optimized HfTa2Fe structure, as listed in the Alexandria database.

The total energy is -10.5539 eV/atom. The value obtained for the spin magnetization is 0.59 μB/f.u. The calculation puts the density of states at the Fermi level at 4.043 states/eV/cell.

The structure belongs to space group P4/mmm (No. 123); the cell edges are 3.0955, 3.0955 and 7.1796 Å and the angles 90.00°, 90.00° and 90.00°. The inequivalent atoms are Hf at (0.0000, 0.0000, 0.0000), Ta at (0.5000, 0.5000, 0.2880) and Fe at (0.0000, 0.0000, 0.5000).

---

Entry 3:
First-principles (PBE-GGA) data for a geometry-optimized TbCoSi3Ni structure, as listed in the Alexandria database.

The total energy is -6.0282 eV/atom. For the formation energy (no corrections), the calculation gives -0.3971 eV/atom. The value obtained for the spin magnetization is 0.00 μB/f.u. The calculation puts the density of states at the Fermi level at 12.019 states/eV/cell.

The structure belongs to space group Cmcm (No. 63); the cell edges are 5.9475, 12.2440 and 5.5211 Å and the angles 90.00°, 90.00° and 90.00°. The inequivalent atoms are Tb at (0.0000, 0.2187, 0.2500), Co at (0.0000, 0.0433, 0.7500), Si at (0.0000, 0.2160, 0.7500), Si at (0.2102, 0.5000, 0.0000) and Ni at (0.0000, 0.3891, 0.7500).

---

Entry 4:
First-principles (PBE-GGA) data for a geometry-optimized Tb2AlNi structure, as listed in the Alexandria database.

The total energy is -4.4058 eV/atom. The value obtained for the spin magnetization is 0.00 μB/f.u. The calculation puts the density of states at the Fermi level at 7.122 states/eV/cell.

The structure belongs to space group R-3m (No. 166, hexagonal axes); the cell edges are 3.3299, 3.3299 and 29.4909 Å and the angles 90.00°, 90.00° and 120.00°. The inequivalent atoms are Tb at (0.0000, 0.0000, 0.0858), Al at (0.0000, 0.0000, 0.5000) and Ni at (0.0000, 0.0000, 0.0000).

---

Entry 5:
First-principles (PBE-GGA) data for a geometry-optimized Ba2NaLaAu structure, as listed in the Alexandria database.

The total energy is -2.8421 eV/atom. The value obtained for the spin magnetization is 0.00 μB/f.u. The calculation puts the density of states at the Fermi level at 5.481 states/eV/cell.

The structure belongs to space group P4/mmm (No. 123); the cell edges are 6.5787, 6.5787 and 5.8061 Å and the angles 90.00°, 90.00° and 90.00°. The inequivalent atoms are Ba at (0.0000, 0.5000, 0.0000), Na at (0.0000, 0.0000, 0.5000), La at (0.5000, 0.5000, 0.5000) and Au at (0.5000, 0.5000, 0.0000).

---

Entry 6:
First-principles (PBE-GGA) data for a geometry-optimized ReMoW2 structure, as listed in the Alexandria database.

The total energy is -12.2836 eV/atom. The value obtained for the spin magnetization is 0.00 μB/f.u. The calculation puts the density of states at the Fermi level at 2.484 states/eV/cell.

The structure belongs to space group P4/mmm (No. 123); the cell edges are 4.4719, 4.4719 and 3.1573 Å and the angles 90.00°, 90.00° and 90.00°. The inequivalent atoms are Re at (0.0000, 0.0000, 0.0000), Mo at (0.5000, 0.5000, 0.0000) and W at (0.0000, 0.5000, 0.5000).

---

Entry 7:
First-principles (PBE-GGA) data for a geometry-optimized Li2BeCl structure, as listed in the Alexandria database.

The total energy is -2.7014 eV/atom. For the formation energy (no corrections), the calculation gives -0.3513 eV/atom. The value obtained for the spin magnetization is 0.00 μB/f.u. The calculation puts the density of states at the Fermi level at 3.158 states/eV/cell.

The structure belongs to space group R-3m (No. 166, hexagonal axes); the cell edges are 3.1896, 3.1896 and 22.7442 Å and the angles 90.00°, 90.00° and 120.00°. The inequivalent atoms are Li at (0.0000, 0.0000, 0.2360), Be at (0.0000, 0.0000, 0.0000) and Cl at (0.0000, 0.0000, 0.5000).

---

Entry 8:
First-principles (PBE-GGA) data for a geometry-optimized CsTl2BiBr8 structure, as listed in the Alexandria database.

The total energy is -2.6888 eV/atom. For the formation energy (no corrections), the calculation gives -0.7846 eV/atom. The value obtained for the spin magnetization is 0.00 μB/f.u. The calculation puts the density of states at the Fermi level at 5.711 states/eV/cell.

The structure belongs to space group P-1 (No. 2); the cell edges are 7.2488, 7.2739 and 10.2029 Å and the angles 79.10°, 79.68° and 80.57°. The inequivalent atoms are Cs at (0.0000, 0.0000, 0.0000), Tl at (0.4514, 0.4492, 0.2385), Bi at (0.0000, 0.0000, 0.5000), Br at (0.1640, 0.7382, 0.7132), Br at (0.2554, 0.8269, 0.2916), Br at (0.2660, 0.2543, 0.4978) and Br at (0.3415, 0.3294, 0.0126).